Entry from Alexandria: a PBEsol-optimized structure of TeSF3 (SCAN).

Cell lengths 4.3606, 4.3606, 4.3606 Å; angles 90.00, 90.00, 90.00 degrees
Site moments in Bohr magnetons follow the coordinates.
Atoms (fractional coordinates):
S 0.5000 0.5000 0.5000  0.93
Te 0.0000 0.0000 0.0000  -0.18
F 0.0000 0.5000 0.0000  0.01
F 0.0000 0.0000 0.5000  0.01
F 0.5000 0.0000 0.0000  0.01

energy: -0.8976 Ry per atom



Entry from Alexandria: a PBEsol-optimized structure of TlS3F (SCAN).

Cell lengths 5.1608, 5.1608, 5.1608 Å; angles 90.00, 90.00, 90.00 degrees
Site moments in Bohr magnetons follow the coordinates.
Atoms (fractional coordinates):
S 0.0000 0.5000 0.0000  0.79
S 0.5000 0.0000 0.0000  0.79
Tl 0.0000 0.0000 0.0000  -0.05
F 0.5000 0.5000 0.5000  0.46
S 0.0000 0.0000 0.5000  0.79

energy: -1.4719 Ry per atom



Entry from Alexandria: a PBEsol-optimized structure of WSF2 (SCAN).

Cell lengths 2.7650, 2.7650, 10.0249 Å; angles 82.07, 82.07, 60.00 degrees
Site moments in Bohr magnetons follow the coordinates.
Atoms (fractional coordinates):
F 0.0627 0.0627 0.8118  0.00
F 0.9373 0.9373 0.1882  0.00
W 0.0000 0.0000 0.0000  -0.01
S 0.5000 0.5000 0.5000  0.24

energy: -1.6451 Ry per atom



Entry from Alexandria: a PBEsol-optimized structure of YSF3 (SCAN).

Cell lengths 4.3379, 4.3379, 4.3379 Å; angles 90.00, 90.00, 90.00 degrees
Atoms (fractional coordinates):
F 0.0000 0.5000 0.0000
Y 0.5000 0.5000 0.5000
S 0.0000 0.0000 0.0000
F 0.0000 0.0000 0.5000
F 0.5000 0.0000 0.0000

offset from the most stable computed form: 1.856 eV/atom
energy: -0.7809 Ry per atom



Entry from Alexandria: a PBEsol-optimized structure of YSF (SCAN).

Cell lengths 4.0074, 4.0074, 16.6213 Å; angles 90.00, 90.00, 120.00 degrees
Atoms (fractional coordinates):
S 0.6667 0.3333 0.5859
Y 0.3333 0.6667 0.2500
Y 0.6667 0.3333 0.7500
F 0.0000 0.0000 0.7500
S 0.3333 0.6667 0.4141
Y 0.0000 0.0000 0.5000
S 0.3333 0.6667 0.0859
Y 0.0000 0.0000 0.0000
S 0.6667 0.3333 0.9141
F 0.0000 0.0000 0.2500
F 0.3333 0.6667 0.7500
F 0.6667 0.3333 0.2500

energy: -1.2477 Ry per atom



Entry from Alexandria: a PBEsol-optimized structure of YSF3 (SCAN).

Cell lengths 4.3665, 4.3665, 4.3665 Å; angles 90.00, 90.00, 90.00 degrees
Site moments in Bohr magnetons follow the coordinates.
Atoms (fractional coordinates):
Y 0.0000 0.0000 0.0000  -0.01
F 0.0000 0.5000 0.0000  0.05
S 0.5000 0.5000 0.5000  1.14
F 0.5000 0.0000 0.0000  0.05
F 0.0000 0.0000 0.5000  0.05

offset from the most stable computed form: 0.000 eV/atom
energy: -0.9172 Ry per atom



Entry from Alexandria: a PBEsol-optimized structure of YSF (SCAN).

Cell lengths 3.7332, 3.7332, 6.7691 Å; angles 90.00, 90.00, 90.00 degrees
Atoms (fractional coordinates):
Y 0.0000 0.5000 0.2273
S 0.5000 0.0000 0.3573
S 0.0000 0.5000 0.6427
Y 0.5000 0.0000 0.7727
F 0.0000 0.0000 0.0000
F 0.5000 0.5000 0.0000

energy: -1.2508 Ry per atom



Entry from Alexandria: a PBEsol-optimized structure of ZnS3F (SCAN).

Cell lengths 4.5313, 4.5313, 4.5313 Å; angles 90.00, 90.00, 90.00 degrees
Atoms (fractional coordinates):
S 0.0000 0.0000 0.5000
S 0.5000 0.0000 0.0000
Zn 0.0000 0.0000 0.0000
S 0.0000 0.5000 0.0000
F 0.5000 0.5000 0.5000

energy: -0.6245 Ry per atom



Entry from Alexandria: a PBEsol-optimized structure of ZnSF2 (SCAN).

Cell lengths 6.1617, 5.7148, 6.1617 Å; angles 57.38, 90.00, 122.62 degrees
Site moments in Bohr magnetons follow the coordinates.
Atoms (fractional coordinates):
F 0.3750 0.2500 0.9758  0.04
S 0.2500 0.5000 0.2500  1.20
F 0.8750 0.2500 0.7742  0.04
F 0.9758 0.7500 0.8750  0.04
Zn 0.7500 0.5000 0.7500  0.00
Zn 0.0000 0.0000 0.0000  0.00
F 0.7742 0.7500 0.3750  0.04
S 0.5000 0.0000 0.5000  1.20

energy: -0.6345 Ry per atom



Entry from Alexandria: a PBEsol-optimized structure of ZrS2F (SCAN).

Cell lengths 5.6321, 5.6321, 6.9797 Å; angles 113.79, 113.79, 90.00 degrees
Atoms (fractional coordinates):
F 0.5000 0.5000 0.0000
Zr 0.0000 0.0000 0.0000
F 0.7500 0.2500 0.5000
Zr 0.2500 0.7500 0.5000
S 0.3596 0.8750 0.2500
S 0.8904 0.3750 0.2500
S 0.1250 0.1096 0.7500
S 0.6250 0.6404 0.7500

energy: -1.0556 Ry per atom



Entry from Alexandria: a PBEsol-optimized structure of SbF5 (SCAN).

Cell lengths 5.2836, 7.5163, 10.1003 Å; angles 90.00, 90.00, 107.65 degrees
Atoms (fractional coordinates):
F 0.4760 0.3284 0.1880
F 0.4505 0.6296 0.3412
F 0.0495 0.8704 0.8412
F 0.8104 0.4608 0.3975
F 0.9945 0.4683 0.8459
F 0.6896 0.0392 0.8975
F 0.9760 0.8284 0.3120
F 0.5055 0.0317 0.3459
F 0.4945 0.9683 0.6541
F 0.0055 0.5317 0.1541
F 0.9505 0.1296 0.1588
F 0.6402 0.6922 0.0971
Sb 0.7723 0.9209 0.7484
F 0.5240 0.6716 0.8120
Sb 0.2723 0.4209 0.7516
Sb 0.2277 0.0791 0.2516
F 0.3104 0.9608 0.1025
F 0.0240 0.1716 0.6880
F 0.1402 0.1922 0.4029
Sb 0.7277 0.5791 0.2484
F 0.3598 0.3078 0.9029
F 0.5495 0.3704 0.6588
F 0.1896 0.5392 0.6025
F 0.8598 0.8078 0.5971

energy: -0.8417 Ry per atom



Entry from Alexandria: a PBEsol-optimized structure of SbF3 (SCAN).

Cell lengths 4.3845, 4.3845, 6.9719 Å; angles 90.00, 90.00, 112.45 degrees
Atoms (fractional coordinates):
F 0.9756 0.5816 0.5633
F 0.9756 0.5816 0.9367
F 0.3112 0.3910 0.2500
F 0.5816 0.9756 0.0633
Sb 0.2089 0.7966 0.2500
F 0.5816 0.9756 0.4367
F 0.3910 0.3112 0.7500
Sb 0.7966 0.2089 0.7500

energy: -1.0567 Ry per atom